1:
Computed, not measured: crystalline Zn2Co2Pb at its relaxed geometry at the PBE-GGA level of DFT.

a = 3.680 Å, b = 3.680 Å, c = 11.656 Å
α = 90.00°, β = 90.00°, γ = 90.00°
Fractional positions:
Zn 0.000 0.500 0.250
Zn 0.000 0.500 0.750
Zn 0.500 0.000 0.250
Zn 0.500 0.000 0.750
Co 0.000 0.000 0.100
Co 0.000 0.000 0.900
Co 0.500 0.500 0.400
Co 0.500 0.500 0.600
Pb 0.000 0.000 0.500
Pb 0.500 0.500 0.000

Symmetry ... I4/mmm
V ... 15.78 Å³ per atom

***

2:
Computed, not measured: crystalline Zn2Co2Pb at its relaxed geometry at the PBE-GGA level of DFT.

a = 7.155 Å, b = 7.155 Å, c = 2.976 Å
α = 90.00°, β = 90.00°, γ = 90.00°
Fractional positions:
Zn 0.125 0.375 0.000
Zn 0.375 0.875 0.000
Zn 0.625 0.125 0.000
Zn 0.875 0.625 0.000
Co 0.166 0.666 0.500
Co 0.334 0.166 0.500
Co 0.666 0.834 0.500
Co 0.834 0.334 0.500
Pb 0.000 0.000 0.000
Pb 0.500 0.500 0.000

Symmetry ... P4/mbm
V ... 15.23 Å³ per atom

***

Energetically preferred structure: 1 | next structure: +2.5 kJ/mol of atoms

***

1:
Computed, not measured: crystalline Zr2CoPb2 at its relaxed geometry at the PBE-GGA level of DFT.

a = 6.841 Å, b = 6.841 Å, c = 4.662 Å
α = 90.00°, β = 90.00°, γ = 90.00°
Fractional positions:
Zr 0.162 0.338 0.000
Zr 0.338 0.838 0.000
Zr 0.662 0.162 0.000
Zr 0.838 0.662 0.000
Co 0.000 0.000 0.500
Co 0.500 0.500 0.500
Pb 0.153 0.653 0.500
Pb 0.347 0.153 0.500
Pb 0.653 0.847 0.500
Pb 0.847 0.347 0.500

Symmetry ... P4/mbm
V ... 21.82 Å³ per atom

***

2:
Computed, not measured: crystalline Zr2CoPb2 at its relaxed geometry at the PBE-GGA level of DFT.

a = 6.762 Å, b = 6.762 Å, c = 5.035 Å
α = 90.00°, β = 90.00°, γ = 90.00°
Fractional positions:
Zr 0.165 0.335 0.000
Zr 0.335 0.835 0.000
Zr 0.665 0.165 0.000
Zr 0.835 0.665 0.000
Co 0.000 0.000 0.000
Co 0.500 0.500 0.000
Pb 0.166 0.666 0.500
Pb 0.334 0.166 0.500
Pb 0.666 0.834 0.500
Pb 0.834 0.334 0.500

Symmetry ... P4/mbm
V ... 23.03 Å³ per atom

***

Energetically preferred structure: 1 | next structure: +0.6 kJ/mol of atoms

***

1:
Computed, not measured: crystalline Co3Pd4 at its relaxed geometry at the PBE-GGA level of DFT.

a = 8.561 Å, b = 3.728 Å, c = 6.081 Å
α = 90.00°, β = 98.87°, γ = 90.00°
Fractional positions:
Co 0.000 0.000 0.000
Co 0.150 0.000 0.430
Co 0.350 0.500 0.570
Co 0.500 0.500 0.000
Co 0.650 0.500 0.430
Co 0.850 0.000 0.570
Pd 0.070 0.500 0.709
Pd 0.209 0.500 0.149
Pd 0.291 0.000 0.851
Pd 0.430 0.000 0.291
Pd 0.570 0.000 0.709
Pd 0.709 0.000 0.149
Pd 0.791 0.500 0.851
Pd 0.930 0.500 0.291

Symmetry ... C2/m
V ... 13.70 Å³ per atom

***

2:
Computed, not measured: crystalline Co3Pd4 at its relaxed geometry at the PBE-GGA level of DFT.

a = 2.682 Å, b = 2.682 Å, c = 28.194 Å
α = 90.00°, β = 90.00°, γ = 90.00°
Fractional positions:
Co 0.000 0.000 0.000
Co 0.000 0.000 0.225
Co 0.000 0.000 0.775
Co 0.500 0.500 0.275
Co 0.500 0.500 0.500
Co 0.500 0.500 0.725
Pd 0.000 0.000 0.139
Pd 0.000 0.000 0.435
Pd 0.000 0.000 0.565
Pd 0.000 0.000 0.861
Pd 0.500 0.500 0.065
Pd 0.500 0.500 0.361
Pd 0.500 0.500 0.639
Pd 0.500 0.500 0.935

Symmetry ... I4/mmm
V ... 14.48 Å³ per atom

***

Energetically preferred structure: 1 | next structure: +14.7 kJ/mol of atoms

***

1:
Computed, not measured: crystalline Co2Pd3 at its relaxed geometry at the PBE-GGA level of DFT.

a = 2.707 Å, b = 2.707 Å, c = 32.634 Å
α = 90.00°, β = 90.00°, γ = 120.00°
Fractional positions:
Co 0.000 0.000 0.195
Co 0.000 0.000 0.805
Co 0.333 0.667 0.471
Co 0.333 0.667 0.862
Co 0.667 0.333 0.138
Co 0.667 0.333 0.529
Pd 0.000 0.000 0.000
Pd 0.000 0.000 0.406
Pd 0.000 0.000 0.594
Pd 0.333 0.667 0.073
Pd 0.333 0.667 0.261
Pd 0.333 0.667 0.667
Pd 0.667 0.333 0.333
Pd 0.667 0.333 0.739
Pd 0.667 0.333 0.927

Symmetry ... R-3m
V ... 13.81 Å³ per atom

***

2:
Computed, not measured: crystalline Co2Pd3 at its relaxed geometry at the PBE-GGA level of DFT.

a = 5.785 Å, b = 5.785 Å, c = 4.582 Å
α = 98.41°, β = 98.41°, γ = 102.33°
Fractional positions:
Co 0.070 0.930 0.750
Co 0.179 0.821 0.250
Co 0.821 0.179 0.750
Co 0.930 0.070 0.250
Pd 0.000 0.500 0.500
Pd 0.245 0.408 0.032
Pd 0.408 0.245 0.532
Pd 0.500 0.000 0.000
Pd 0.592 0.755 0.468
Pd 0.755 0.592 0.968

Symmetry ... C2/c
V ... 14.57 Å³ per atom

***

Energetically preferred structure: 1 | next structure: +14.1 kJ/mol of atoms

***

1:
Computed, not measured: crystalline Pm8CoPd2 at its relaxed geometry at the PBE-GGA level of DFT.

a = 7.698 Å, b = 7.698 Å, c = 6.379 Å
α = 103.74°, β = 103.74°, γ = 109.07°
Fractional positions:
Pm 0.000 0.000 0.000
Pm 0.002 0.277 0.538
Pm 0.208 0.519 0.177
Pm 0.277 0.002 0.538
Pm 0.456 0.722 0.821
Pm 0.519 0.208 0.177
Pm 0.722 0.456 0.821
Pm 0.730 0.730 0.403
Co 0.357 0.357 0.448
Pd 0.061 0.687 0.705
Pd 0.687 0.061 0.705

Symmetry ... Cm
V ... 29.64 Å³ per atom

***

2:
Computed, not measured: crystalline Pm8CoPd2 at its relaxed geometry at the PBE-GGA level of DFT.

a = 9.142 Å, b = 9.142 Å, c = 6.901 Å
α = 100.62°, β = 100.62°, γ = 32.59°
Fractional positions:
Pm 0.030 0.030 0.286
Pm 0.203 0.203 0.828
Pm 0.340 0.340 0.529
Pm 0.413 0.413 0.060
Pm 0.587 0.587 0.940
Pm 0.660 0.660 0.471
Pm 0.797 0.797 0.172
Pm 0.970 0.970 0.714
Co 0.500 0.500 0.500
Pd 0.197 0.197 0.240
Pd 0.803 0.803 0.760

Symmetry ... C2/m
V ... 27.71 Å³ per atom

***

Energetically preferred structure: 2 | next structure: +6.6 kJ/mol of atoms